4
Lattice="3.512 0.000 0.000 0.000 3.512 0.000 0.000 0.000 6.064" Properties=species:S:1:pos:R:3 comment="AsPt2Se (PBE, optimized geometry)" formation_energy_uncorrected_kj_per_mol_atoms=-8.2 crystal_system=tetragonal pbc="T T T"
As 0.000 0.000 0.000
Pt 0.000 0.000 2.573
Pt 1.756 1.756 0.931
Se 1.756 1.756 3.465

4
Lattice="0.000 3.264 3.264 3.264 0.000 3.264 3.264 3.264 0.000" Properties=species:S:1:pos:R:3 comment="AsPt2Se (PBE, optimized geometry)" formation_energy_uncorrected_kj_per_mol_atoms=33.5 crystal_system=cubic pbc="T T T"
As 0.000 0.000 0.000
Pt 1.632 1.632 1.632
Pt 3.264 3.264 3.264
Se 4.895 4.895 4.895